Co2N2O | PBE with a Hubbard U | optimized geometry

Geometry as CIF:
```
data_Co2N2O
_cell_length_a 5.323
_cell_length_b 5.323
_cell_length_c 5.323
_cell_angle_alpha 146.32
_cell_angle_beta 146.32
_cell_angle_gamma 48.37
_space_group_name_H-M_alt 'P 1'
_space_group_IT_number 1
loop_
_space_group_symop_operation_xyz
'x,y,z'
loop_
_atom_site_label
_atom_site_fract_x
_atom_site_fract_y
_atom_site_fract_z
_atom_site_occupancy
Co1 0.136 0.136 0.000 1
Co2 0.864 0.864 0.000 1
N1 0.250 0.750 0.500 1
N2 0.750 0.250 0.500 1
O1 0.500 0.500 0.000 1
```

Values from the calculation:
As for the total energy: -5.448 eV/atom. For the density of states at the Fermi level, the calculation gives 1.296 states/eV/f.u.